# SrDy3Pt8

Crystalline SrDy3Pt8 at its relaxed geometry (PBE, the Alexandria database).

VASP energy	-75.69	eV per cell
ΔE_f	-0.99	eV per atom

Cell: 5.4837 5.4837 8.9311 Å, 90.00 90.00 120.00°
Last column: nearest neighbours and their distance in Å.
Fractional coordinates of all 12 atoms:
Pt: 0.6710 0.8355 0.2456  6 Pt 2.71-2.78
Pt: 0.1645 0.8355 0.2456  6 Pt 2.71-2.78
Pt: 0.5028 0.0056 0.7552  6 Pt 2.70-2.79
Pt: 0.3333 0.6667 0.9997  6 Pt 2.71-2.72
Pt: 0.3333 0.6667 0.5001  6 Pt 2.78-2.79
Pt: 0.5028 0.4972 0.7552  6 Pt 2.70-2.79
Pt: 0.9944 0.4972 0.7552  6 Pt 2.70-2.79
Pt: 0.1645 0.3290 0.2456  6 Pt 2.71-2.78
Dy: 0.6667 0.3333 0.0659  12 Pt 3.18-3.22, 4 Dy 3.29-3.38
Dy: 0.6667 0.3333 0.4342  12 Pt 3.22-3.26, 1 Dy 3.29, 3 Sr 3.37
Dy: 0.0000 0.0000 0.9335  12 Pt 3.17-3.22, 1 Sr 3.30, 3 Dy 3.38
Sr: 0.0000 0.0000 0.5644  12 Pt 3.22-3.25, 4 Dy 3.30-3.37